(1)
The following is a GGA-PBE calculation of Pm4Dy10Tm after structural relaxation, from Alexandria via LeMat-Bulk.

Cell: 7.893 8.905 8.905 Å, 78.67 63.69 63.69°
Positions (direct):
Pm 0.229 0.000 0.542
Pm 0.771 0.458 0.000
Pm 0.229 0.542 0.000
Pm 0.771 0.000 0.458
Dy 0.250 0.500 0.500
Dy 0.708 0.209 0.791
Dy 0.083 0.209 0.209
Dy 0.501 0.791 0.791
Dy 0.708 0.791 0.209
Dy 0.292 0.791 0.209
Dy 0.750 0.500 0.500
Dy 0.292 0.209 0.791
Dy 0.499 0.209 0.209
Dy 0.917 0.791 0.791
Tm 0.000 0.000 0.000

***

(2)
The following is a GGA-PBE calculation of Pm2Dy2Tm7 after structural relaxation, from Alexandria via LeMat-Bulk.

Computed properties:
Energy above the most stable polymorph in this dataset, meV/atom: 3

Cell: 5.997 7.988 7.988 Å, 92.09 73.85 73.85°
Positions (direct):
Pm 0.500 0.211 0.789
Pm 0.500 0.789 0.211
Dy 0.809 0.405 0.405
Dy 0.191 0.595 0.595
Tm 0.175 0.064 0.590
Tm 0.825 0.410 0.936
Tm 0.825 0.936 0.410
Tm 0.175 0.590 0.064
Tm 0.000 0.000 0.000
Tm 0.580 0.765 0.765
Tm 0.420 0.235 0.235

***

| no. | DFT formation energy (kcal/mol of atoms) |
| --- | --- |
| 1 | 6.060 |
| 2 | 3.696 |